1.
## U2AsN2 (PBE-GGA)

Data for crystalline U2AsN2 at its relaxed geometry.

POSCAR file:
```
U2AsN2
1.0
3.541 0.000 -1.323
-0.494 3.506 -1.323
0.403 0.463 6.477
N U As
2 2 1
Direct
0.250 0.750 0.500
0.750 0.250 0.500
0.351 0.351 0.701
0.649 0.649 0.299
0.000 0.000 0.000
```

Properties
Space group: I4/mmm, No. 139
Total moment in μB/f.u.: 3.00
E_form (uncorrected) in meV/atom: -1267.0
Total DFT energy (no corrections) in eV/atom: -10.042



2.
## U2AsN2 (PBE-GGA)

Data for crystalline U2AsN2 at its relaxed geometry.

POSCAR file:
```
U2AsN2
1.0
3.822 0.000 0.000
-1.911 3.310 0.000
0.000 0.000 6.749
N As U
2 1 2
Direct
0.333 0.667 0.626
0.667 0.333 0.374
0.000 0.000 0.000
0.667 0.333 0.710
0.333 0.667 0.290
```

Properties
Space group: P-3m1, No. 164
Total moment in μB/f.u.: 3.00
E_form (uncorrected) in meV/atom: -1313.1
Total DFT energy (no corrections) in eV/atom: -10.088



3.
## ZrUAsN (PBE-GGA)

Data for crystalline ZrUAsN at its relaxed geometry.

POSCAR file:
```
ZrUAsN
1.0
-0.563 2.574 3.006
-3.838 0.387 -1.050
-2.180 -6.841 5.450
N As Zr U
2 2 2 2
Direct
0.500 0.500 0.000
0.000 0.000 0.000
0.000 0.500 0.283
0.500 0.000 0.717
0.000 0.000 0.500
0.500 0.500 0.500
0.000 0.500 0.877
0.500 0.000 0.123
```

Properties
Space group: P4/nmm, No. 129
Total moment in μB/f.u.: 1.16
E_form (uncorrected) in meV/atom: -1026.3
Total DFT energy (no corrections) in eV/atom: -9.229



4.
## ZrUAs2N (PBE-GGA)

Data for crystalline ZrUAs2N at its relaxed geometry.

POSCAR file:
```
ZrUAs2N
1.0
-0.344 -2.521 -2.819
-2.332 -2.087 2.151
-10.294 6.659 -4.700
Zr U As N
2 2 4 2
Direct
0.500 0.000 0.093
0.000 0.500 0.907
0.000 0.500 0.408
0.500 0.000 0.592
0.500 0.000 0.305
0.000 0.500 0.695
0.500 0.000 0.878
0.000 0.500 0.122
0.500 0.500 0.500
0.000 0.000 0.500
```

Properties
Space group: P4/nmm, No. 129
Total moment in μB/f.u.: 0.56
E_form (uncorrected) in meV/atom: -1072.3
Total DFT energy (no corrections) in eV/atom: -8.564



5.
## ZrUAsN2 (PBE-GGA)

Data for crystalline ZrUAsN2 at its relaxed geometry.

POSCAR file:
```
ZrUAsN2
1.0
-1.166 -2.305 2.734
2.381 -2.646 -1.216
3.482 4.551 2.734
Zr U N As
1 1 2 1
Direct
0.845 0.845 0.690
0.154 0.154 0.308
0.750 0.250 0.499
0.250 0.750 0.499
0.502 0.502 0.003
```

Properties
Space group: I4mm, No. 107
Total moment in μB/f.u.: 1.02
E_form (uncorrected) in meV/atom: -1252.8
Total DFT energy (no corrections) in eV/atom: -9.480



6.
## V2AsN (PBE-GGA)

Data for crystalline V2AsN at its relaxed geometry.

POSCAR file:
```
V2AsN
1.0
-0.284 -1.407 2.695
2.328 0.003 1.976
-1.365 4.551 3.961
V As N
2 1 1
Direct
0.777 0.777 0.668
0.223 0.223 0.332
0.000 0.000 0.000
0.500 0.500 0.500
```

Properties
Space group: R-3m, No. 166
Total moment in μB/f.u.: 0.00
E_form (uncorrected) in meV/atom: -722.9
Total DFT energy (no corrections) in eV/atom: -8.526



7.
## VAsN2 (PBE-GGA)

Data for crystalline VAsN2 at its relaxed geometry.

POSCAR file:
```
VAsN2
1.0
1.674 0.000 6.213
-0.837 1.449 6.213
-0.837 -1.449 6.213
N V As
2 1 1
Direct
0.108 0.108 0.108
0.892 0.892 0.892
0.500 0.500 0.500
0.000 0.000 0.000
```

Properties
Space group: R-3m, No. 166
Total moment in μB/f.u.: 0.35
E_form (uncorrected) in meV/atom: -192.1
Total DFT energy (no corrections) in eV/atom: -7.797



8.
## V2AsN (PBE-GGA)

Data for crystalline V2AsN at its relaxed geometry.

POSCAR file:
```
V2AsN
1.0
-1.464 -4.989 0.685
1.656 -1.150 -4.842
4.200 -4.049 -0.442
As V N
2 4 2
Direct
0.000 0.000 0.000
0.750 0.250 0.500
0.375 0.463 0.750
0.875 0.787 0.750
0.213 0.625 0.250
0.537 0.125 0.250
0.250 0.750 0.500
0.500 0.500 0.000
```

Properties
Space group: I-42d, No. 122
Total moment in μB/f.u.: 3.16
E_form (uncorrected) in meV/atom: -359.7
Total DFT energy (no corrections) in eV/atom: -8.163